Density functional theory data (PBE-GGA) for a relaxed structure of Na2PrPuS4.

Results
- ΔE_f (raw): -1.648 eV/atom
- Spin magnetization: 0.625 μB/atom
- Fermi-level density of states: 10.62 states/eV per cell

Cell: 4.112 7.120 7.080 Å, 109.75 90.00 90.00°
Site moments in Bohr magnetons follow the coordinates.
Atoms (fractional coordinates):
S  0.000  0.751  0.234  -0.03
S  0.500  0.765  0.773  -0.07
S  0.500  0.235  0.227  -0.07
S  0.000  0.249  0.766  -0.03
Na  0.000  0.500  0.500  0.00
Na  0.500  0.000  0.500  0.00
Pu  0.000  0.000  0.000  5.02
Pr  0.500  0.500  0.000  0.04

Density functional theory data (PBE-GGA) for a relaxed structure of Na3PrPu2Se6.

Results
- ΔE_f (raw): -1.490 eV/atom
- Spin magnetization: 0.833 μB/atom
- Fermi-level density of states: 21.86 states/eV per cell

Cell: 7.358 7.358 7.384 Å, 99.56 99.56 120.01°
Site moments in Bohr magnetons follow the coordinates.
Atoms (fractional coordinates):
Na  0.166  0.834  0.500  0.00
Na  0.500  0.500  0.500  0.00
Na  0.834  0.166  0.500  0.00
Se  0.078  0.419  0.233  0.07
Se  0.263  0.263  0.766  0.07
Se  0.419  0.078  0.233  0.07
Se  0.737  0.737  0.234  0.07
Se  0.581  0.922  0.767  0.07
Se  0.922  0.581  0.767  0.07
Pr  0.000  0.000  0.000  -0.04
Pu  0.333  0.667  0.000  -5.11
Pu  0.667  0.333  0.000  -5.11

Density functional theory data (PBE-GGA) for a relaxed structure of NaPrPu2Se4.

Results
- ΔE_f (raw): -1.548 eV/atom
- Spin magnetization: 0.013 μB/atom
- Fermi-level density of states: 26.34 states/eV per cell

Cell: 4.204 7.300 7.337 Å, 70.41 90.00 90.00°
Site moments in Bohr magnetons follow the coordinates.
Atoms (fractional coordinates):
Se  0.000  0.243  0.255  -0.03
Se  0.000  0.757  0.745  -0.03
Se  0.500  0.758  0.245  0.03
Se  0.500  0.242  0.755  0.03
Na  0.000  0.500  0.500  0.00
Pu  0.500  0.000  0.500  5.35
Pu  0.000  0.000  0.000  -5.30
Pr  0.500  0.500  0.000  0.00

Density functional theory data (PBE-GGA) for a relaxed structure of NaPr2PuSe4.

Results
- ΔE_f (raw): -1.674 eV/atom
- Spin magnetization: 0.730 μB/atom
- Fermi-level density of states: 13.73 states/eV per cell

Cell: 4.235 7.331 7.350 Å, 70.46 90.00 90.00°
Site moments in Bohr magnetons follow the coordinates.
Atoms (fractional coordinates):
Se  0.000  0.742  0.754  -0.04
Se  0.500  0.253  0.751  -0.02
Se  0.000  0.258  0.246  -0.04
Se  0.500  0.747  0.249  -0.02
Pr  0.000  0.000  0.000  0.07
Pr  0.500  0.000  0.500  0.05
Na  0.000  0.500  0.500  0.00
Pu  0.500  0.500  0.000  5.42

Density functional theory data (PBE-GGA) for a relaxed structure of Na2PrPuTe4.

Results
- ΔE_f (raw): -1.172 eV/atom
- Spin magnetization: 0.625 μB/atom
- Fermi-level density of states: 14.53 states/eV per cell

Cell: 4.550 7.870 7.968 Å, 109.37 90.00 90.00°
Site moments in Bohr magnetons follow the coordinates.
Atoms (fractional coordinates):
Te  0.000  0.751  0.240  -0.04
Te  0.500  0.240  0.235  -0.08
Te  0.000  0.249  0.760  -0.04
Te  0.500  0.760  0.765  -0.08
Na  0.500  0.000  0.500  0.00
Na  0.000  0.500  0.500  0.00
Pu  0.000  0.000  0.000  5.20
Pr  0.500  0.500  0.000  0.02

Density functional theory data (PBE-GGA) for a relaxed structure of NaPrPu2Te4.

Results
- ΔE_f (raw): -1.188 eV/atom
- Spin magnetization: 1.455 μB/atom
- Fermi-level density of states: 23.29 states/eV per cell

Cell: 4.486 7.803 7.803 Å, 109.26 90.00 90.00°
Site moments in Bohr magnetons follow the coordinates.
Atoms (fractional coordinates):
Te  0.000  0.753  0.256  -0.07
Te  0.500  0.253  0.256  -0.06
Te  0.500  0.747  0.744  -0.06
Te  0.000  0.247  0.744  -0.07
Pu  0.000  0.500  0.500  5.53
Pu  0.500  0.000  0.500  5.48
Pr  0.000  0.000  0.000  0.12
Na  0.500  0.500  0.000  0.00

Density functional theory data (PBE-GGA) for a relaxed structure of Na3Pr2PuTe6.

Results
- ΔE_f (raw): -1.219 eV/atom
- Spin magnetization: 0.417 μB/atom
- Fermi-level density of states: 14.57 states/eV per cell

Cell: 7.902 7.902 7.975 Å, 99.50 99.50 119.99°
Site moments in Bohr magnetons follow the coordinates.
Atoms (fractional coordinates):
Te  0.408  0.080  0.239  -0.04
Te  0.920  0.592  0.761  -0.04
Te  0.080  0.408  0.239  -0.04
Te  0.592  0.920  0.761  -0.04
Te  0.249  0.249  0.761  -0.04
Te  0.751  0.751  0.239  -0.04
Pu  0.000  0.000  0.000  5.18
Pr  0.334  0.666  0.000  0.02
Pr  0.666  0.334  0.000  0.02
Na  0.832  0.168  0.500  0.00
Na  0.500  0.500  0.500  0.00
Na  0.168  0.832  0.500  0.00

Density functional theory data (PBE-GGA) for a relaxed structure of NaPr2Pu3Te6.

Results
- ΔE_f (raw): -1.205 eV/atom
- Spin magnetization: 0.494 μB/atom
- Fermi-level density of states: 43.15 states/eV per cell

Cell: 4.475 9.023 10.051 Å, 102.66 102.86 90.00°
Site moments in Bohr magnetons follow the coordinates.
Atoms (fractional coordinates):
Pr  0.833  0.663  0.666  0.02
Pr  0.167  0.337  0.334  0.02
Te  0.665  0.590  0.330  -0.02
Te  0.332  0.919  0.665  -0.05
Te  0.999  0.253  0.999  0.02
Te  0.001  0.747  0.001  0.02
Te  0.335  0.410  0.670  -0.02
Te  0.668  0.081  0.335  -0.05
Pu  0.500  0.500  0.000  -5.42
Pu  0.833  0.164  0.666  5.49
Pu  0.167  0.836  0.334  5.49
Na  0.500  0.000  0.000  0.00

Density functional theory data (PBE-GGA) for a relaxed structure of NaPr4Pu3Te8.

Results
- ΔE_f (raw): -1.290 eV/atom
- Spin magnetization: 1.111 μB/atom
- Fermi-level density of states: 37.88 states/eV per cell

Cell: 8.983 9.007 8.983 Å, 119.91 120.00 90.00°
Site moments in Bohr magnetons follow the coordinates.
Atoms (fractional coordinates):
Te  0.747  0.741  0.494  -0.05
Te  0.248  0.743  0.495  -0.03
Te  0.748  0.743  0.995  -0.03
Te  0.752  0.257  0.005  -0.03
Te  0.252  0.257  0.005  -0.03
Te  0.253  0.259  0.506  -0.05
Te  0.248  0.743  0.995  -0.03
Te  0.752  0.257  0.505  -0.03
Pr  0.000  0.000  0.000  0.04
Pr  0.000  0.000  0.500  0.04
Pr  0.500  0.000  0.500  0.04
Pr  0.500  0.000  0.000  0.09
Pu  0.500  0.500  0.000  5.54
Pu  0.500  0.500  0.500  5.54
Pu  0.000  0.500  0.500  5.54
Na  0.000  0.500  0.000  0.00

Density functional theory data (PBE-GGA) for a relaxed structure of NaPr2PuTe4.

Results
- ΔE_f (raw): -1.297 eV/atom
- Spin magnetization: 0.745 μB/atom
- Fermi-level density of states: 15.58 states/eV per cell

Cell: 4.503 7.833 7.843 Å, 109.37 90.00 90.00°
Site moments in Bohr magnetons follow the coordinates.
Atoms (fractional coordinates):
Pr  0.000  0.500  0.500  0.06
Pr  0.500  0.000  0.500  0.05
Te  0.000  0.747  0.244  -0.04
Te  0.500  0.750  0.753  -0.02
Te  0.500  0.250  0.247  -0.02
Te  0.000  0.253  0.756  -0.04
Na  0.000  0.000  0.000  0.00
Pu  0.500  0.500  0.000  5.53

Density functional theory data (PBE-GGA) for a relaxed structure of Rb2NaPr.

Results
- Spin magnetization: 0.000 μB/atom
- Energy of formation from the pure elements: 1.5 eV per formula unit
- Fermi-level density of states: 3.47 states/eV per cell

Cell: 3.948 3.948 15.310 Å, 82.59 82.59 60.00°
Atoms (fractional coordinates):
Rb  0.085  0.085  0.744
Rb  0.915  0.915  0.256
Na  0.500  0.500  0.500
Pr  0.000  0.000  0.000

Density functional theory data (PBE-GGA) for a relaxed structure of RbNa2Pr.

Results
- Spin magnetization: 0.000 μB/atom
- Energy of formation from the pure elements: 1.3 eV per formula unit
- Fermi-level density of states: 3.50 states/eV per cell

Cell: 3.779 3.779 14.806 Å, 82.67 82.67 60.00°
Atoms (fractional coordinates):
Rb  0.500  0.500  0.500
Na  0.920  0.920  0.239
Na  0.080  0.080  0.761
Pr  0.000  0.000  0.000

What is the formula in the first record?
Na2PrPuS4